(1)
Entry from Alexandria: a relaxed structure of SiHS (GGA-PBE).

## Properties
**Space group**: P2_1/m (11)
**DFT total energy**: -25.612 eV for the cell shown
**Volume**: 96 Å³/cell
**DOS at the Fermi energy**: 0.60 states/eV per cell

Cell: 3.7467 3.1993 8.0218 Å, 90.00 95.83 90.00°
Closest atoms and distances in Å follow each position.
Fractional coordinates of all 6 atoms:
Si: 0.2359 0.2500 0.4430  2 S 2.39, 4 Si 2.62-2.64
Si: 0.7641 0.7500 0.5570  2 S 2.39, 4 Si 2.62-2.64
H: 0.1208 0.2500 0.8411  1 S 1.36
H: 0.8792 0.7500 0.1589  1 S 1.36
S: 0.2320 0.7500 0.2208  1 H 1.36
S: 0.7680 0.2500 0.7792  1 H 1.36

(2)
Entry from Alexandria: a relaxed structure of UMoS (GGA-PBE).

## Properties
**Space group**: Fmm2 (42)
**DFT total energy**: -26.716 eV for the cell shown
**Formation energy from raw total energies**: -156.6 meV/atom
**Volume**: 53 Å³/cell
**DOS at the Fermi energy**: 5.53 states/eV per cell

Cell: 5.6898 5.6883 3.1938 Å, 73.72 73.67 32.60°
Closest atoms and distances in Å follow each position.
Fractional coordinates of all 3 atoms:
U: 0.0000 0.0000 0.0000  5 Mo 3.02-3.21, 5 S 3.06-3.15, 4 U 3.19
Mo: 0.3077 0.3077 0.6923  4 S 2.53
S: 0.6983 0.6983 0.3017  4 Mo 2.53

(3)
Entry from Alexandria: a relaxed structure of ZrTl3Co (GGA-PBE).

## Properties
**Space group**: Pm-3m (221)
**DFT total energy**: -19.765 eV for the cell shown
**Volume**: 121 Å³/cell
**Formation enthalpy at 0 K**: 0.5976 eV per atom
**DOS at the Fermi energy**: 6.82 states/eV per cell

Cell: 4.9421 4.9421 4.9421 Å, 90.00 90.00 90.00°
Closest atoms and distances in Å follow each position.
Fractional coordinates of all 5 atoms:
Zr: 0.0000 0.0000 0.0000  12 Tl 3.49
Tl: 0.0000 0.5000 0.5000  2 Co 2.47
Tl: 0.5000 0.0000 0.5000  2 Co 2.47
Tl: 0.5000 0.5000 0.0000  2 Co 2.47
Co: 0.5000 0.5000 0.5000  6 Tl 2.47

(4)
Entry from Alexandria: a relaxed structure of Ac3CdCu2 (GGA-PBE).

## Properties
**Space group**: P4/mmm (123)
**DFT total energy**: -22.348 eV for the cell shown
**Volume**: 178 Å³/cell
**Formation enthalpy at 0 K**: -0.1525 eV per atom
**DOS at the Fermi energy**: 4.52 states/eV per cell

Cell: 3.8673 3.8673 11.8772 Å, 90.00 90.00 90.00°
Closest atoms and distances in Å follow each position.
Fractional coordinates of all 6 atoms:
Ac: 0.0000 0.0000 0.0000  8 Cu 3.33
Ac: 0.0000 0.0000 0.3154  4 Cu 3.30, 4 Cd 3.50
Ac: 0.0000 0.0000 0.6846  4 Cu 3.30, 4 Cd 3.50
Cd: 0.5000 0.5000 0.5000  8 Ac 3.50, 4 Cd 3.87
Cu: 0.5000 0.5000 0.1595  8 Ac 3.30-3.33
Cu: 0.5000 0.5000 0.8405  8 Ac 3.30-3.33

(5)
Entry from Alexandria: a relaxed structure of CrHPd3 (GGA-PBE).

## Properties
**Space group**: Cmcm (63)
**DFT total energy**: -52.993 eV for the cell shown
**Volume**: 173 Å³/cell
**DOS at the Fermi energy**: 8.53 states/eV per cell

Cell: 6.9697 6.9697 4.9471 Å, 90.00 90.00 134.04°
Closest atoms and distances in Å follow each position.
Fractional coordinates of all 10 atoms:
Cr: 0.1708 0.8292 0.7500  4 Pd 2.50-2.52
Cr: 0.8292 0.1708 0.2500  4 Pd 2.50-2.52
H: 0.4096 0.5904 0.7500  2 Pd 1.71
H: 0.5904 0.4096 0.2500  2 Pd 1.71
Pd: 0.0000 0.0000 0.0000  2 Pd 2.47, 2 Cr 2.52
Pd: 0.0000 0.0000 0.5000  2 Pd 2.47, 2 Cr 2.52
Pd: 0.0755 0.4108 0.7500  1 H 1.71
Pd: 0.4108 0.0755 0.2500  1 H 1.71
Pd: 0.5892 0.9245 0.7500  1 H 1.71
Pd: 0.9245 0.5892 0.2500  1 H 1.71

(6)
Entry from Alexandria: a relaxed structure of KBe2MoS (GGA-PBE).

## Properties
**Space group**: P4/mmm (123)
**DFT total energy**: -21.802 eV for the cell shown
**Formation energy from raw total energies**: 341.4 meV/atom
**Volume**: 98 Å³/cell
**DOS at the Fermi energy**: 1.85 states/eV per cell

Cell: 4.6332 4.6332 4.5743 Å, 90.00 90.00 90.00°
Closest atoms and distances in Å follow each position.
Fractional coordinates of all 5 atoms:
K: 0.0000 0.0000 0.0000  8 Be 3.26, 4 S 3.28
Be: 0.0000 0.5000 0.5000  2 Mo 2.32
Be: 0.5000 0.0000 0.5000  2 Mo 2.32
Mo: 0.5000 0.5000 0.5000  2 S 2.29, 4 Be 2.32
S: 0.5000 0.5000 0.0000  2 Mo 2.29

(7)
Entry from Alexandria: a relaxed structure of Pm4NdDy2Ho (GGA-PBE).

## Properties
**Space group**: P2/m (10)
**DFT total energy**: -37.421 eV for the cell shown
**Volume**: 266 Å³/cell
**Formation enthalpy at 0 K**: 0.0165 eV per atom
**DOS at the Fermi energy**: 11.24 states/eV per cell

Cell: 6.2472 3.6202 11.9521 Å, 90.00 100.19 90.00°
Closest atoms and distances in Å follow each position.
Fractional coordinates of all 8 atoms:
Pm: 0.2493 0.0000 0.2473  3 Dy 3.58-3.63, 1 Ho 3.58, 6 Pm 3.61-3.62, 2 Nd 3.63
Pm: 0.2497 0.5000 0.7517  3 Dy 3.59-3.62, 2 Ho 3.59, 6 Pm 3.61-3.62, 1 Nd 3.63
Pm: 0.7503 0.5000 0.2483  3 Dy 3.59-3.62, 2 Ho 3.59, 6 Pm 3.61-3.62, 1 Nd 3.63
Pm: 0.7507 0.0000 0.7527  3 Dy 3.58-3.63, 1 Ho 3.58, 6 Pm 3.61-3.62, 2 Nd 3.63
Nd: 0.5000 0.5000 0.5000  4 Dy 3.61, 2 Nd 3.62, 6 Pm 3.63
Dy: 0.0000 0.0000 0.5000  4 Nd 3.61, 6 Pm 3.62-3.63, 2 Dy 3.62
Dy: 0.0000 0.5000 0.0000  6 Pm 3.58-3.59, 4 Ho 3.61, 2 Dy 3.62
Ho: 0.5000 0.0000 0.0000  6 Pm 3.58-3.59, 4 Dy 3.61, 2 Ho 3.62

(8)
Entry from Alexandria: a relaxed structure of Sb2Pb2O7 (GGA-PBE).

## Properties
**Space group**: C2/m (12)
**DFT total energy**: -63.771 eV for the cell shown
**Formation energy from raw total energies**: -1218.4 meV/atom
**Volume**: 209 Å³/cell

Cell: 6.3199 6.3199 5.8943 Å, 96.21 96.21 114.90°
Closest atoms and distances in Å follow each position.
Fractional coordinates of all 11 atoms:
Sb: 0.2459 0.2459 0.1104  4 O 1.91-1.97
Sb: 0.7541 0.7541 0.8896  4 O 1.91-1.97
Pb: 0.1938 0.8062 0.5000  4 O 2.40-2.53
Pb: 0.8062 0.1938 0.5000  4 O 2.40-2.53
O: 0.0648 0.0648 0.8060  1 Sb 1.96
O: 0.1256 0.4322 0.2825  1 Sb 1.91
O: 0.4322 0.1256 0.2825  1 Sb 1.91
O: 0.5000 0.5000 0.0000  2 Sb 1.97
O: 0.5678 0.8744 0.7175  1 Sb 1.91
O: 0.8744 0.5678 0.7175  1 Sb 1.91
O: 0.9352 0.9352 0.1940  1 Sb 1.96

(9)
Entry from Alexandria: a relaxed structure of CaPb2F6 (GGA-PBE).

## Properties
**Space group**: Immm (71)
**DFT total energy**: -46.768 eV for the cell shown
**Formation energy from raw total energies**: -2902.5 meV/atom
**Volume**: 149 Å³/cell
**DOS at the Fermi energy**: 0.00 states/eV per cell

Cell: 7.1361 7.1361 7.1361 Å, 146.32 131.64 60.23°
Closest atoms and distances in Å follow each position.
Fractional coordinates of all 9 atoms:
Ca: 0.0000 0.0000 0.0000  8 F 2.39-2.47
Pb: 0.3367 0.3367 0.0000  8 F 2.55-2.63
Pb: 0.6633 0.6633 0.0000  8 F 2.55-2.63
F: 0.0842 0.8432 0.2410  1 Ca 2.39, 3 Pb 2.56-2.63
F: 0.2323 0.5000 0.7323  2 Ca 2.47, 2 Pb 2.55, 1 F 2.72
F: 0.3979 0.1568 0.2410  1 Ca 2.39, 3 Pb 2.56-2.63
F: 0.6021 0.8432 0.7590  1 Ca 2.39, 3 Pb 2.56-2.63
F: 0.7677 0.5000 0.2677  2 Ca 2.47, 2 Pb 2.55, 1 F 2.72
F: 0.9158 0.1568 0.7590  1 Ca 2.39, 3 Pb 2.56-2.63

(10)
Entry from Alexandria: a relaxed structure of Sc4AsP2Se (GGA-PBE).

## Properties
**Space group**: P2/m (10)
**DFT total energy**: -56.688 eV for the cell shown
**Formation energy from raw total energies**: -1551.0 meV/atom
**Volume**: 157 Å³/cell
**DOS at the Fermi energy**: 1.63 states/eV per cell

Cell: 6.5948 3.8077 6.6193 Å, 90.00 109.27 90.00°
Closest atoms and distances in Å follow each position.
Fractional coordinates of all 8 atoms:
Sc: 0.2399 0.0000 0.2336  3 P 2.63-2.66, 1 As 2.73, 2 Se 2.77
Sc: 0.2504 0.5000 0.7621  3 P 2.63-2.67, 2 As 2.73, 1 Se 2.76
Sc: 0.7496 0.5000 0.2379  3 P 2.63-2.67, 2 As 2.73, 1 Se 2.76
Sc: 0.7601 0.0000 0.7664  3 P 2.63-2.66, 1 As 2.73, 2 Se 2.77
As: 0.0000 0.0000 0.5000  6 Sc 2.73
P: 0.0000 0.5000 0.0000  6 Sc 2.63
P: 0.5000 0.0000 0.0000  6 Sc 2.66-2.67
Se: 0.5000 0.5000 0.5000  6 Sc 2.76-2.77

(11)
Entry from Alexandria: a relaxed structure of SrPd2Pb (GGA-PBE).

## Properties
**Space group**: P4/mmm (123)
**DFT total energy**: -17.251 eV for the cell shown
**Volume**: 93 Å³/cell
**Formation enthalpy at 0 K**: -0.3688 eV per atom
**DOS at the Fermi energy**: 2.54 states/eV per cell

Cell: 3.6927 3.6927 6.8461 Å, 90.00 90.00 90.00°
Closest atoms and distances in Å follow each position.
Fractional coordinates of all 4 atoms:
Sr: 0.0000 0.0000 0.0000  8 Pd 3.26, 2 Pb 3.42
Pd: 0.5000 0.5000 0.2854  1 Pd 2.94, 4 Pb 3.00, 4 Sr 3.26
Pd: 0.5000 0.5000 0.7146  1 Pd 2.94, 4 Pb 3.00, 4 Sr 3.26
Pb: 0.0000 0.0000 0.5000  8 Pd 3.00

(12)
Entry from Alexandria: a relaxed structure of Na2ErCuCl6 (GGA-PBE).

## Properties
**Space group**: Fm-3m (225)
**DFT total energy**: -37.981 eV for the cell shown
**Formation energy from raw total energies**: -1560.4 meV/atom
**Volume**: 265 Å³/cell

Cell: 7.2079 7.2079 7.2079 Å, 60.00 60.00 60.00°
Closest atoms and distances in Å follow each position.
Fractional coordinates of all 10 atoms:
Na: 0.2500 0.2500 0.2500  12 Cl 3.60
Na: 0.7500 0.7500 0.7500  12 Cl 3.60
Er: 0.0000 0.0000 0.0000  6 Cl 2.59
Cu: 0.5000 0.5000 0.5000  6 Cl 2.50
Cl: 0.2543 0.2543 0.7457  1 Cu 2.50, 1 Er 2.59
Cl: 0.2543 0.7457 0.2543  1 Cu 2.50, 1 Er 2.59
Cl: 0.2543 0.7457 0.7457  1 Cu 2.50, 1 Er 2.59
Cl: 0.7457 0.2543 0.2543  1 Cu 2.50, 1 Er 2.59
Cl: 0.7457 0.2543 0.7457  1 Cu 2.50, 1 Er 2.59
Cl: 0.7457 0.7457 0.2543  1 Cu 2.50, 1 Er 2.59